Record 1
The following is a GGA-PBEsol calculation of a geometry-optimized CaSc3 structure, from the Alexandria database.

Raw total energy = -5.259 eV per atom
Space-group type = Cmmm (65)
DOS(E_F) = 2.275 states/eV per atom
Formation energy from the elements = 228 meV per atom

a = 5.8264 Å, b = 5.8264 Å, c = 3.2933 Å
α = 90.00°, β = 90.00°, γ = 110.07°
Positions (direct):
Ca (0.0000, 0.0000, 0.0000)
Sc (0.0000, 0.5000, 0.5000)
Sc (0.5000, 0.0000, 0.5000)
Sc (0.5000, 0.5000, 0.0000)

---

Record 2
The following is a GGA-PBEsol calculation of a geometry-optimized CaSc structure, from the Alexandria database.

Raw total energy = -4.216 eV per atom
Space-group type = P-3m1 (164)
DOS(E_F) = 1.962 states/eV per atom
Formation energy from the elements = 153 meV per atom

a = 3.4881 Å, b = 3.4881 Å, c = 11.4528 Å
α = 90.00°, β = 90.00°, γ = 120.00°
Positions (direct):
Ca (0.3333, 0.6667, 0.1437)
Ca (0.6667, 0.3333, 0.8563)
Sc (0.3333, 0.6667, 0.6045)
Sc (0.6667, 0.3333, 0.3955)

---

Record 3
The following is a GGA-PBEsol calculation of a geometry-optimized CaSc3 structure, from the Alexandria database.

Raw total energy = -5.306 eV per atom
Space-group type = Cmmm (65)
DOS(E_F) = 1.949 states/eV per atom
Formation energy from the elements = 182 meV per atom

a = 3.2202 Å, b = 3.2202 Å, c = 10.8230 Å
α = 90.00°, β = 90.00°, γ = 108.46°
Positions (direct):
Ca (0.0000, 0.0000, 0.0000)
Sc (0.0000, 0.0000, 0.5000)
Sc (0.5000, 0.5000, 0.2754)
Sc (0.5000, 0.5000, 0.7246)

---

Record 4
The following is a GGA-PBEsol calculation of a geometry-optimized CaScSe2 structure, from the Alexandria database.

Raw total energy = -5.896 eV per atom
Energy relative to the elements, uncorrected = -1787 meV/atom
Space-group type = P4/mmm (123)
DOS(E_F) = 0.355 states/eV per atom

a = 3.9687 Å, b = 3.9687 Å, c = 5.5980 Å
α = 90.00°, β = 90.00°, γ = 90.00°
Positions (direct):
Ca (0.0000, 0.0000, 0.0000)
Sc (0.5000, 0.5000, 0.5000)
Se (0.0000, 0.0000, 0.5000)
Se (0.5000, 0.5000, 0.0000)